A plane-wave DFT calculation with GGA-PBEsol was carried out for Ba5Ag4 after structural relaxation.

## Properties
**VASP energy**: -25.03 eV/f.u.
**DOS(E_F)**: 13.44 states/eV/cell
**V**: 35.92 Å³ per atom

abc: 10.0089 10.0089 7.4530
angles: 90.00 90.00 120.00
Last column: nearest neighbours and their distance in Å.
Space group P6_3/mcm (No. 193)
One atom of each set of equivalent atoms:
1 Ba 0.0000 0.2681 0.2500  5 Ag 3.27-3.48
2 Ba 0.3333 0.6667 0.0000  6 Ag 3.60, 2 Ba 3.73
3 Ag 0.0000 0.0000 0.0000  6 Ba 3.27
4 Ag 0.0000 0.3924 0.7500  7 Ba 3.40-3.60